[1]
# Be2ReRh2 GGA-PBE relaxed
data_Be2ReRh2
_chemical_formula_sum 'Be4 Re2 Rh4'
_cell_length_a 6.505
_cell_length_b 6.505
_cell_length_c 2.756
_cell_angle_alpha 90.00
_cell_angle_beta 90.00
_cell_angle_gamma 90.00
_symmetry_space_group_name_H-M 'P 4/m b m'
_symmetry_Int_Tables_number 127
_symmetry_space_group_name_Hall '-P 4 2ab'
loop_
_atom_site_label
_atom_site_fract_x
_atom_site_fract_y
_atom_site_fract_z
Be1 0.127 0.373 0.000
Re1 0.000 0.000 0.000
Rh1 0.167 0.667 0.500
# Magnetic moment in μB/f.u.: 0.00
# Polymorph energy (0 for the lowest one) in eV per atom: 0.0000
# E_form in meV/atom: -333.5

=====

[2]
# Li2AsPd2 GGA-PBE relaxed
data_Li2AsPd2
_chemical_formula_sum 'Li4 As2 Pd4'
_cell_length_a 7.421
_cell_length_b 4.272
_cell_length_c 5.152
_cell_angle_alpha 90.00
_cell_angle_beta 118.69
_cell_angle_gamma 90.00
_symmetry_space_group_name_H-M 'C 1 2/m 1'
_symmetry_Int_Tables_number 12
_symmetry_space_group_name_Hall '-C 2y'
loop_
_atom_site_label
_atom_site_fract_x
_atom_site_fract_y
_atom_site_fract_z
Li1 0.195 0.000 0.085
As1 0.000 0.000 0.500
Pd1 0.107 0.500 0.320
# Magnetic moment in μB/f.u.: 0.00
# Polymorph energy (0 for the lowest one) in eV per atom: 0.0000
# E_form in meV/atom: -537.4

=====

[3]
# CaHfSbO6 GGA-PBE relaxed
data_CaHfSbO6
_chemical_formula_sum 'Ca2 Hf2 Sb2 O12'
_cell_length_a 5.4717
_cell_length_b 5.4717
_cell_length_c 9.8108
_cell_angle_alpha 90.00
_cell_angle_beta 90.00
_cell_angle_gamma 120.00
_symmetry_space_group_name_H-M 'P -3 1 c'
_symmetry_Int_Tables_number 163
_symmetry_space_group_name_Hall '-P 3 2c'
loop_
_atom_site_label
_atom_site_fract_x
_atom_site_fract_y
_atom_site_fract_z
Ca1 0.0000 0.0000 0.0000
Hf1 0.3333 0.6667 0.2500
Sb1 0.3333 0.6667 0.7500
O1 0.0117 0.3695 0.6394
# Magnetic moment in μB/f.u.: 1.04
# VASP energy in eV per formula unit: -66.7

=====

[4]
# LaPmHg6 GGA-PBE relaxed
data_LaPmHg6
_chemical_formula_sum 'La2 Pm2 Hg12'
_cell_length_a 5.078
_cell_length_b 6.876
_cell_length_c 11.831
_cell_angle_alpha 90.00
_cell_angle_beta 90.00
_cell_angle_gamma 90.00
_symmetry_space_group_name_H-M 'A m m 2'
_symmetry_Int_Tables_number 38
_symmetry_space_group_name_Hall 'A 2 -2'
loop_
_atom_site_label
_atom_site_fract_x
_atom_site_fract_y
_atom_site_fract_z
La1 0.000 0.000 0.000
Pm1 0.500 0.000 0.675
Hg1 0.000 0.000 0.505
Hg2 0.000 0.243 0.254
Hg3 0.500 0.000 0.173
Hg4 0.500 0.237 0.419
# Magnetic moment in μB/f.u.: 0.00
# E_form in meV/atom: -407.5

=====

[5]
# NpFeTe2 GGA-PBE relaxed
data_NpFeTe2
_chemical_formula_sum 'Np3 Fe3 Te6'
_cell_length_a 4.4849
_cell_length_b 4.4849
_cell_length_c 25.5521
_cell_angle_alpha 90.00
_cell_angle_beta 90.00
_cell_angle_gamma 120.00
_symmetry_space_group_name_H-M 'R -3 m'
_symmetry_Int_Tables_number 166
_symmetry_space_group_name_Hall '-R 3 2"'
loop_
_atom_site_label
_atom_site_fract_x
_atom_site_fract_y
_atom_site_fract_z
Np1 0.0000 0.0000 0.0000
Fe1 0.0000 0.0000 0.5000
Te1 0.0000 0.0000 0.4013
# Magnetic moment in μB/f.u.: 7.35
# VASP energy in eV per formula unit: -26.8

=====

[6]
# ScCl GGA-PBE relaxed
data_ScCl
_chemical_formula_sum 'Sc2 Cl2'
_cell_length_a 3.2771
_cell_length_b 3.2771
_cell_length_c 7.9639
_cell_angle_alpha 90.00
_cell_angle_beta 90.00
_cell_angle_gamma 120.00
_symmetry_space_group_name_H-M 'P 63/m m c'
_symmetry_Int_Tables_number 194
_symmetry_space_group_name_Hall '-P 6c 2c'
loop_
_atom_site_label
_atom_site_fract_x
_atom_site_fract_y
_atom_site_fract_z
Sc1 0.0000 0.0000 0.0000
Cl1 0.3333 0.6667 0.2500
# Magnetic moment in μB/f.u.: 0.00
# VASP energy in eV per formula unit: -10.5

=====

[7]
# Dy3I3N GGA-PBE relaxed
data_Dy3I3N
_chemical_formula_sum 'Dy18 I18 N6'
_cell_length_a 6.6662
_cell_length_b 6.6662
_cell_length_c 33.5255
_cell_angle_alpha 90.00
_cell_angle_beta 90.00
_cell_angle_gamma 120.00
_symmetry_space_group_name_H-M 'R -3'
_symmetry_Int_Tables_number 148
_symmetry_space_group_name_Hall '-R 3'
loop_
_atom_site_label
_atom_site_fract_x
_atom_site_fract_y
_atom_site_fract_z
Dy1 0.0000 0.3545 0.4614
I1 0.0000 0.3280 0.6022
N1 0.0000 0.0000 0.1667
# Magnetic moment in μB/f.u.: 0.00
# VASP energy in eV per formula unit: -35.3

=====

[8]
# Tb2InSn3 GGA-PBE relaxed
data_Tb2InSn3
_chemical_formula_sum 'Tb8 In4 Sn12'
_cell_length_a 13.130
_cell_length_b 9.054
_cell_length_c 5.989
_cell_angle_alpha 90.00
_cell_angle_beta 90.00
_cell_angle_gamma 90.00
_symmetry_space_group_name_H-M 'C m c m'
_symmetry_Int_Tables_number 63
_symmetry_space_group_name_Hall '-C 2c 2'
loop_
_atom_site_label
_atom_site_fract_x
_atom_site_fract_y
_atom_site_fract_z
Tb1 0.141 0.203 0.250
In1 0.000 0.404 0.750
Sn1 0.000 0.082 0.750
Sn2 0.199 0.500 0.000
# Magnetic moment in μB/f.u.: 0.00
# E_form in meV/atom: -248.6

=====

[9]
# KLiCuF4 GGA-PBE relaxed
data_KLiCuF4
_chemical_formula_sum 'K2 Li2 Cu2 F8'
_cell_length_a 5.466
_cell_length_b 5.498
_cell_length_c 6.574
_cell_angle_alpha 90.00
_cell_angle_beta 100.56
_cell_angle_gamma 90.00
_symmetry_space_group_name_H-M 'P 1 21/m 1'
_symmetry_Int_Tables_number 11
_symmetry_space_group_name_Hall '-P 2yb'
loop_
_atom_site_label
_atom_site_fract_x
_atom_site_fract_y
_atom_site_fract_z
K1 0.169 0.250 0.087
Li1 0.370 0.250 0.666
Cu1 0.175 0.750 0.456
F1 0.121 0.012 0.691
F2 0.294 0.750 0.187
F3 0.482 0.250 0.417
# Magnetic moment in μB/f.u.: 1.00
# VASP energy in eV per formula unit: -30.1

=====

[10]
# BiOsAu2 GGA-PBE relaxed
data_BiOsAu2
_chemical_formula_sum 'Bi4 Os4 Au8'
_cell_length_a 7.893
_cell_length_b 7.893
_cell_length_c 5.391
_cell_angle_alpha 90.00
_cell_angle_beta 90.00
_cell_angle_gamma 90.00
_symmetry_space_group_name_H-M 'I -4 2 d'
_symmetry_Int_Tables_number 122
_symmetry_space_group_name_Hall 'I -4 2bw'
loop_
_atom_site_label
_atom_site_fract_x
_atom_site_fract_y
_atom_site_fract_z
Bi1 0.000 0.000 0.000
Os1 0.000 0.000 0.500
Au1 0.220 0.250 0.625
# Magnetic moment in μB/f.u.: 0.00
# Polymorph energy (0 for the lowest one) in eV per atom: 0.0000
# E_form in meV/atom: 718.9

=====

[11]
# YCd2Ag6 GGA-PBE relaxed
data_YCd2Ag6
_chemical_formula_sum 'Y2 Cd4 Ag12'
_cell_length_a 3.127
_cell_length_b 8.273
_cell_length_c 14.270
_cell_angle_alpha 90.00
_cell_angle_beta 90.00
_cell_angle_gamma 90.00
_symmetry_space_group_name_H-M 'I m m m'
_symmetry_Int_Tables_number 71
_symmetry_space_group_name_Hall '-I 2 2'
loop_
_atom_site_label
_atom_site_fract_x
_atom_site_fract_y
_atom_site_fract_z
Y1 0.000 0.000 0.000
Cd1 0.000 0.500 0.150
Ag1 0.000 0.171 0.500
Ag2 0.000 0.326 0.327
# Magnetic moment in μB/f.u.: 0.00
# Polymorph energy (0 for the lowest one) in eV per atom: 0.0328
# E_form in meV/atom: -37.0

=====

[12]
# Mg2SnS4 GGA-PBE relaxed
data_Mg2SnS4
_chemical_formula_sum 'Mg8 Sn4 S16'
_cell_length_a 3.588
_cell_length_b 12.342
_cell_length_c 12.603
_cell_angle_alpha 90.00
_cell_angle_beta 90.00
_cell_angle_gamma 90.00
_symmetry_space_group_name_H-M 'C m c m'
_symmetry_Int_Tables_number 63
_symmetry_space_group_name_Hall '-C 2c 2'
loop_
_atom_site_label
_atom_site_fract_x
_atom_site_fract_y
_atom_site_fract_z
Mg1 0.000 0.121 0.064
Sn1 0.000 0.372 0.250
S1 0.000 0.025 0.250
S2 0.000 0.225 0.617
S3 0.000 0.500 0.000
# Magnetic moment in μB/f.u.: 0.00
# Polymorph energy (0 for the lowest one) in eV per atom: 0.1723

=====

[13]
# InHgBr GGA-PBE relaxed
data_InHgBr
_chemical_formula_sum 'In4 Hg4 Br4'
_cell_length_a 5.539
_cell_length_b 5.560
_cell_length_c 13.077
_cell_angle_alpha 90.00
_cell_angle_beta 90.00
_cell_angle_gamma 90.00
_symmetry_space_group_name_H-M 'F m m 2'
_symmetry_Int_Tables_number 42
_symmetry_space_group_name_Hall 'F 2 -2'
loop_
_atom_site_label
_atom_site_fract_x
_atom_site_fract_y
_atom_site_fract_z
In1 0.000 0.000 0.000
Hg1 0.000 0.000 0.322
Br1 0.000 0.000 0.618
# Magnetic moment in μB/f.u.: 0.00
# Polymorph energy (0 for the lowest one) in eV per atom: 0.0401

=====

[14]
# Pr2ZnSn4 GGA-PBE relaxed
data_Pr2ZnSn4
_chemical_formula_sum 'Pr2 Zn1 Sn4'
_cell_length_a 4.570
_cell_length_b 4.570
_cell_length_c 9.215
_cell_angle_alpha 90.00
_cell_angle_beta 90.00
_cell_angle_gamma 90.00
_symmetry_space_group_name_H-M 'P -4 m 2'
_symmetry_Int_Tables_number 115
_symmetry_space_group_name_Hall 'P -4 -2'
loop_
_atom_site_label
_atom_site_fract_x
_atom_site_fract_y
_atom_site_fract_z
Pr1 0.000 0.500 0.222
Zn1 0.500 0.500 0.000
Sn1 0.000 0.000 0.500
Sn2 0.000 0.500 0.824
Sn3 0.500 0.500 0.500
# Magnetic moment in μB/f.u.: 0.00
# E_form in meV/atom: -461.6

=====

[15]
# Mg2Tl2In3 GGA-PBE relaxed
data_Mg2Tl2In3
_chemical_formula_sum 'Mg4 Tl4 In6'
_cell_length_a 3.400
_cell_length_b 26.547
_cell_length_c 4.248
_cell_angle_alpha 90.00
_cell_angle_beta 90.00
_cell_angle_gamma 90.00
_symmetry_space_group_name_H-M 'C m m m'
_symmetry_Int_Tables_number 65
_symmetry_space_group_name_Hall '-C 2 2'
loop_
_atom_site_label
_atom_site_fract_x
_atom_site_fract_y
_atom_site_fract_z
Mg1 0.000 0.129 0.000
Tl1 0.000 0.304 0.500
In1 0.000 0.000 0.000
In2 0.000 0.433 0.500
# Magnetic moment in μB/f.u.: 0.00
# E_form in meV/atom: 15.8

=====

[16]
# K4InPb4 GGA-PBE relaxed
data_K4InPb4
_chemical_formula_sum 'K8 In2 Pb8'
_cell_length_a 6.862
_cell_length_b 6.874
_cell_length_c 15.239
_cell_angle_alpha 90.00
_cell_angle_beta 90.00
_cell_angle_gamma 90.00
_symmetry_space_group_name_H-M 'I 2 2 2'
_symmetry_Int_Tables_number 23
_symmetry_space_group_name_Hall 'I 2 2'
loop_
_atom_site_label
_atom_site_fract_x
_atom_site_fract_y
_atom_site_fract_z
K1 0.227 0.226 0.323
In1 0.000 0.000 0.500
Pb1 0.191 0.190 0.061
# Magnetic moment in μB/f.u.: 0.00
# E_form in meV/atom: -68.5

=====

[17]
# ZrNiAs2 GGA-PBE relaxed
data_ZrNiAs2
_chemical_formula_sum 'Zr3 Ni3 As6'
_cell_length_a 3.8155
_cell_length_b 3.8155
_cell_length_c 16.9567
_cell_angle_alpha 90.00
_cell_angle_beta 90.00
_cell_angle_gamma 120.00
_symmetry_space_group_name_H-M 'R -3 m'
_symmetry_Int_Tables_number 166
_symmetry_space_group_name_Hall '-R 3 2"'
loop_
_atom_site_label
_atom_site_fract_x
_atom_site_fract_y
_atom_site_fract_z
Zr1 0.0000 0.0000 0.0000
Ni1 0.0000 0.0000 0.5000
As1 0.0000 0.0000 0.2375
# Magnetic moment in μB/f.u.: 0.00
# E_form in meV/atom: -413.3

=====

[18]
# YMo2P GGA-PBE relaxed
data_YMo2P
_chemical_formula_sum 'Y1 Mo2 P1'
_cell_length_a 3.832
_cell_length_b 3.832
_cell_length_c 4.850
_cell_angle_alpha 90.00
_cell_angle_beta 90.00
_cell_angle_gamma 90.00
_symmetry_space_group_name_H-M 'P 4/m m m'
_symmetry_Int_Tables_number 123
_symmetry_space_group_name_Hall '-P 4 2'
loop_
_atom_site_label
_atom_site_fract_x
_atom_site_fract_y
_atom_site_fract_z
Y1 0.000 0.000 0.000
Mo1 0.000 0.500 0.500
P1 0.500 0.500 0.000
# Magnetic moment in μB/f.u.: 0.00
# E_form in meV/atom: 37.0

=====

[19]
# ErSiF GGA-PBE relaxed
data_ErSiF
_chemical_formula_sum 'Er6 Si6 F6'
_cell_length_a 3.7295
_cell_length_b 3.7295
_cell_length_c 25.4203
_cell_angle_alpha 90.00
_cell_angle_beta 90.00
_cell_angle_gamma 120.00
_symmetry_space_group_name_H-M 'R -3 m'
_symmetry_Int_Tables_number 166
_symmetry_space_group_name_Hall '-R 3 2"'
loop_
_atom_site_label
_atom_site_fract_x
_atom_site_fract_y
_atom_site_fract_z
Er1 0.0000 0.0000 0.2367
Si1 0.0000 0.0000 0.3545
F1 0.0000 0.0000 0.1391
# Magnetic moment in μB/f.u.: 0.00
# VASP energy in eV per formula unit: -17.8

=====

[20]
# RbCaTlI4 GGA-PBE relaxed
data_RbCaTlI4
_chemical_formula_sum 'Rb2 Ca2 Tl2 I8'
_cell_length_a 6.142
_cell_length_b 6.142
_cell_length_c 18.067
_cell_angle_alpha 90.00
_cell_angle_beta 90.00
_cell_angle_gamma 90.00
_symmetry_space_group_name_H-M 'I 4 m m'
_symmetry_Int_Tables_number 107
_symmetry_space_group_name_Hall 'I 4 -2'
loop_
_atom_site_label
_atom_site_fract_x
_atom_site_fract_y
_atom_site_fract_z
Rb1 0.000 0.000 0.000
Ca1 0.000 0.000 0.365
Tl1 0.000 0.000 0.725
I1 0.000 0.000 0.196
I2 0.000 0.000 0.539
I3 0.000 0.500 0.364
# Magnetic moment in μB/f.u.: 0.00
# VASP energy in eV per formula unit: -20.3

=====

[21]
# NaAlSeO6 GGA-PBE relaxed
data_NaAlSeO6
_chemical_formula_sum 'Na2 Al2 Se2 O12'
_cell_length_a 4.9368
_cell_length_b 4.9368
_cell_length_c 10.4274
_cell_angle_alpha 90.00
_cell_angle_beta 90.00
_cell_angle_gamma 120.00
_symmetry_space_group_name_H-M 'P -3 1 c'
_symmetry_Int_Tables_number 163
_symmetry_space_group_name_Hall '-P 3 2c'
loop_
_atom_site_label
_atom_site_fract_x
_atom_site_fract_y
_atom_site_fract_z
Na1 0.0000 0.0000 0.0000
Al1 0.3333 0.6667 0.2500
Se1 0.3333 0.6667 0.7500
O1 0.0176 0.3733 0.6537
# Magnetic moment in μB/f.u.: 2.00
# VASP energy in eV per formula unit: -48.8

=====

[22]
# Tb2Nd5Dy5 GGA-PBE relaxed
data_Tb2Nd5Dy5
_chemical_formula_sum 'Tb4 Nd10 Dy10'
_cell_length_a 15.305
_cell_length_b 5.090
_cell_length_c 11.392
_cell_angle_alpha 90.00
_cell_angle_beta 116.63
_cell_angle_gamma 90.00
_symmetry_space_group_name_H-M 'C 1 2/m 1'
_symmetry_Int_Tables_number 12
_symmetry_space_group_name_Hall '-C 2y'
loop_
_atom_site_label
_atom_site_fract_x
_atom_site_fract_y
_atom_site_fract_z
Tb1 0.167 0.000 0.499
Nd1 0.000 0.000 0.000
Nd2 0.082 0.000 0.749
Nd3 0.249 0.000 0.250
Dy1 0.000 0.500 0.500
Dy2 0.084 0.500 0.252
Dy3 0.167 0.500 0.000
# Magnetic moment in μB/f.u.: 0.00
# E_form in meV/atom: 16.2

=====

[23]
# InRh2Br GGA-PBE relaxed
data_InRh2Br
_chemical_formula_sum 'In1 Rh2 Br1'
_cell_length_a 3.034
_cell_length_b 3.611
_cell_length_c 7.358
_cell_angle_alpha 90.00
_cell_angle_beta 90.27
_cell_angle_gamma 90.00
_symmetry_space_group_name_H-M 'P 1 m 1'
_symmetry_Int_Tables_number 6
_symmetry_space_group_name_Hall 'P -2y'
loop_
_atom_site_label
_atom_site_fract_x
_atom_site_fract_y
_atom_site_fract_z
In1 0.000 0.000 0.000
Rh1 0.005 0.000 0.385
Rh2 0.502 0.500 0.191
Br1 0.008 0.500 0.621
# Magnetic moment in μB/f.u.: 0.00
# Polymorph energy (0 for the lowest one) in eV per atom: 0.0647

=====

[24]
# Tb2GeRu GGA-PBE relaxed
data_Tb2GeRu
_chemical_formula_sum 'Tb4 Ge2 Ru2'
_cell_length_a 3.877
_cell_length_b 4.258
_cell_length_c 10.891
_cell_angle_alpha 90.00
_cell_angle_beta 90.00
_cell_angle_gamma 90.00
_symmetry_space_group_name_H-M 'A m m 2'
_symmetry_Int_Tables_number 38
_symmetry_space_group_name_Hall 'A 2 -2'
loop_
_atom_site_label
_atom_site_fract_x
_atom_site_fract_y
_atom_site_fract_z
Tb1 0.000 0.000 0.000
Tb2 0.500 0.000 0.281
Ge1 0.000 0.000 0.704
Ru1 0.500 0.000 0.551
# Magnetic moment in μB/f.u.: 0.00
# E_form in meV/atom: -621.0